Record 1
A PBEsol-optimized structure of InSiW, computed with SCAN.

Properties
Spin magnetization = 0.00 Bohr magnetons per cell
Formation energy without anion corrections = 2.46 eV/f.u.

a b c (Å): 4.2492 4.2492 4.2492
angles (deg): 60.00 60.00 60.00
Fractional positions:
In 0.5000 0.5000 0.5000
Si 0.2500 0.2500 0.2500
W 0.0000 0.0000 0.0000

***

Record 2
A PBEsol-optimized structure of LiTcRu2, computed with SCAN.

Properties
Spin magnetization = 0.00 Bohr magnetons per cell
Excess energy over the best structure of this formula in the dataset = 10 meV per atom
Formation enthalpy at 0 K = 193 meV per atom

a b c (Å): 2.6465 4.3519 4.7738
angles (deg): 93.61 90.00 107.70
Fractional positions:
Li 0.5000 0.0000 0.0000
Ru 0.7497 0.4993 0.7611
Ru 0.2503 0.5007 0.2389
Tc 0.0000 0.0000 0.5000

***

Record 3
A PBEsol-optimized structure of ZnAg5, computed with SCAN.

Properties
Spin magnetization = 0.00 Bohr magnetons per cell
Excess energy over the best structure of this formula in the dataset = 6 meV per atom
Formation enthalpy at 0 K = -1 meV per atom

a b c (Å): 2.8920 5.4337 6.6366
angles (deg): 105.65 90.00 105.43
Fractional positions:
Zn 0.7197 0.4394 0.9390
Ag 0.0090 0.0179 0.0039
Ag 0.3830 0.7659 0.2623
Ag 0.6704 0.3408 0.3387
Ag 0.0525 0.1051 0.6087
Ag 0.3321 0.6642 0.6808

***

Record 4
A PBEsol-optimized structure of La2MgNbO6, computed with SCAN.

Properties
Spin magnetization = 2.00 Bohr magnetons per cell
Formation energy without anion corrections = -33.38 eV/f.u.

a b c (Å): 5.6394 5.6906 7.9395
angles (deg): 90.00 89.91 90.00
Each line ends with the local moment (μB).
Fractional positions:
La 0.9897 0.4424 0.2486  0.04
La 0.0103 0.5576 0.7514  0.04
La 0.5103 0.9424 0.2514  0.04
La 0.4897 0.0576 0.7486  0.04
Mg 0.0000 0.0000 0.5000  0.00
Mg 0.5000 0.5000 0.0000  0.00
Nb 0.0000 0.0000 0.0000  0.66
Nb 0.5000 0.5000 0.5000  0.66
O 0.7967 0.7065 0.0541  0.01
O 0.2033 0.2935 0.9459  0.01
O 0.7033 0.2065 0.4459  0.01
O 0.2967 0.7935 0.5541  0.01
O 0.7020 0.1974 0.0444  0.01
O 0.2980 0.8026 0.9556  0.01
O 0.7980 0.6974 0.4556  0.01
O 0.2020 0.3026 0.5444  0.01
O 0.0938 0.0170 0.2491  0.01
O 0.9062 0.9830 0.7509  0.01
O 0.4062 0.5170 0.2509  0.01
O 0.5938 0.4830 0.7491  0.01

***

Record 5
A PBEsol-optimized structure of AlSiPt2, computed with SCAN.

Properties
Spin magnetization = 0.00 Bohr magnetons per cell
Formation energy without anion corrections = -3.80 eV/f.u.

a b c (Å): 3.3714 3.3714 5.1171
angles (deg): 90.00 90.00 90.00
Fractional positions:
Si 0.0000 0.0000 0.4627
Al 0.5000 0.5000 0.7820
Pt 0.0000 0.0000 0.9535
Pt 0.5000 0.5000 0.3019

***

Record 6
A PBEsol-optimized structure of SrMgTc, computed with SCAN.

Properties
Spin magnetization = 1.13 Bohr magnetons per cell
Formation enthalpy at 0 K = 831 meV per atom

a b c (Å): 3.1635 3.1635 7.7018
angles (deg): 90.00 90.00 120.00
Each line ends with the local moment (μB).
Fractional positions:
Mg 0.0000 0.0000 0.0481  -0.01
Sr 0.3333 0.6667 0.6321  -0.04
Tc 0.6667 0.3333 0.3198  1.17

***

Record 7
A PBEsol-optimized structure of SiHg2Ru, computed with SCAN.

Properties
Spin magnetization = 0.00 Bohr magnetons per cell
Formation energy without anion corrections = 2.18 eV/f.u.

a b c (Å): 3.8531 3.8531 5.2818
angles (deg): 111.39 111.39 90.00
Fractional positions:
Hg 0.7500 0.2500 0.5000
Hg 0.2500 0.7500 0.5000
Ru 0.5000 0.5000 0.0000
Si 0.0000 0.0000 0.0000

***

Record 8
A PBEsol-optimized structure of SeSO2, computed with SCAN.

Properties
Spin magnetization = 3.71 Bohr magnetons per cell
Formation energy without anion corrections = 1.84 eV/f.u.

a b c (Å): 6.0440 6.0440 6.0440
angles (deg): 60.00 60.00 60.00
Each line ends with the local moment (μB).
Fractional positions:
S 0.2500 0.2500 0.2500  1.12
S 0.0000 0.0000 0.0000  1.12
O 0.6250 0.6250 0.6250  0.02
O 0.6250 0.6250 0.1250  0.02
O 0.6250 0.1250 0.6250  0.02
O 0.1250 0.6250 0.6250  0.02
Se 0.7500 0.7500 0.7500  -0.01
Se 0.5000 0.5000 0.5000  -0.01